--- 1 ---
## PrPuPt (PBE-GGA)

Data for a geometry-optimized PrPuPt structure.

**Symmetry**: No. 156
**Mass density**: 12.4 Mg/m³

Unit cell a=4.7529 b=4.7529 c=3.9837 alpha=90.00 beta=90.00 gamma=120.00
Closest atoms and distances in Å follow each position.
Sites, in units of the cell vectors:
Pr (0.0000, 0.0000, 0.0000)  3 Pt 3.08, 3 Pu 3.25
Pu (0.6667, 0.3333, 0.5638)  3 Pt 2.87
Pt (0.3333, 0.6667, 0.3503)  3 Pu 2.87, 3 Pr 3.08


--- 2 ---
## PrPuPt (PBE-GGA)

Data for a geometry-optimized PrPuPt structure.

**Symmetry**: No. 216
**Mass density**: 11.1 Mg/m³

Unit cell a=7.0240 b=7.0240 c=7.0240 alpha=90.00 beta=90.00 gamma=90.00
Closest atoms and distances in Å follow each position.
Sites, in units of the cell vectors:
Pr (0.0000, 0.0000, 0.0000)  4 Pt 3.04
Pr (0.0000, 0.5000, 0.5000)  4 Pt 3.04
Pr (0.5000, 0.0000, 0.5000)  4 Pt 3.04
Pr (0.5000, 0.5000, 0.0000)  4 Pt 3.04
Pu (0.0000, 0.0000, 0.5000)  4 Pt 3.04
Pu (0.0000, 0.5000, 0.0000)  4 Pt 3.04
Pu (0.5000, 0.0000, 0.0000)  4 Pt 3.04
Pu (0.5000, 0.5000, 0.5000)  4 Pt 3.04
Pt (0.2500, 0.2500, 0.7500)  4 Pr 3.04, 4 Pu 3.04
Pt (0.2500, 0.7500, 0.2500)  4 Pr 3.04, 4 Pu 3.04
Pt (0.7500, 0.2500, 0.2500)  4 Pr 3.04, 4 Pu 3.04
Pt (0.7500, 0.7500, 0.7500)  4 Pr 3.04, 4 Pu 3.04


Least stable of them? 1.


--- 1 ---
## PrPu2Pt (PBE-GGA)

Data for a geometry-optimized PrPu2Pt structure.

**Symmetry**: No. 123
**Mass density**: 12.9 Mg/m³

Unit cell a=3.6805 b=3.6805 c=7.8061 alpha=90.00 beta=90.00 gamma=90.00
Closest atoms and distances in Å follow each position.
Sites, in units of the cell vectors:
Pr (0.0000, 0.0000, 0.0000)  8 Pu 3.52, 4 Pr 3.68, 2 Pt 3.90
Pu (0.5000, 0.5000, 0.3039)  4 Pt 3.02, 1 Pu 3.06
Pu (0.5000, 0.5000, 0.6961)  4 Pt 3.02, 1 Pu 3.06
Pt (0.0000, 0.0000, 0.5000)  8 Pu 3.02


--- 2 ---
## PrPu2Pt (PBE-GGA)

Data for a geometry-optimized PrPu2Pt structure.

**Symmetry**: No. 166
**Mass density**: 11.5 Mg/m³

Unit cell a=3.6391 b=3.6391 c=31.1655 alpha=90.00 beta=90.00 gamma=120.00
Closest atoms and distances in Å follow each position.
Sites, in units of the cell vectors:
Pr (0.0000, 0.0000, 0.0000)  2 Pu 3.27, 6 Pr 3.64
Pr (0.3333, 0.6667, 0.6667)  2 Pu 3.27, 6 Pr 3.64
Pr (0.6667, 0.3333, 0.3333)  2 Pu 3.27, 6 Pr 3.64
Pu (0.0000, 0.0000, 0.1050)  3 Pt 2.85
Pu (0.0000, 0.0000, 0.8950)  3 Pt 2.85
Pu (0.3333, 0.6667, 0.5617)  3 Pt 2.85
Pu (0.3333, 0.6667, 0.7717)  3 Pt 2.85
Pu (0.6667, 0.3333, 0.2283)  3 Pt 2.85
Pu (0.6667, 0.3333, 0.4383)  3 Pt 2.85
Pt (0.0000, 0.0000, 0.5000)  6 Pu 2.85
Pt (0.3333, 0.6667, 0.1667)  6 Pu 2.85
Pt (0.6667, 0.3333, 0.8333)  6 Pu 2.85


Least stable of them? 2.


--- 1 ---
## Pr4PtRh (PBE-GGA)

Data for a geometry-optimized Pr4PtRh structure.

**Symmetry**: No. 15
**Mass density**: 7.8 Mg/m³

Unit cell a=8.6045 b=8.6045 c=7.1293 alpha=111.16 beta=111.16 gamma=113.23
Closest atoms and distances in Å follow each position.
Sites, in units of the cell vectors:
Pr (0.0492, 0.5773, 0.8152)  1 Rh 2.78, 2 Pt 3.07-3.11
Pr (0.2341, 0.2628, 0.7775)  2 Rh 2.85-3.15, 1 Pt 3.02
Pr (0.2628, 0.2341, 0.2775)  2 Rh 2.85-3.15, 1 Pt 3.02
Pr (0.4227, 0.9508, 0.6848)  1 Rh 2.78, 2 Pt 3.07-3.11
Pr (0.5773, 0.0492, 0.3152)  1 Rh 2.78, 2 Pt 3.07-3.11
Pr (0.7372, 0.7659, 0.7225)  2 Rh 2.85-3.15, 1 Pt 3.02
Pr (0.7659, 0.7372, 0.2225)  2 Rh 2.85-3.15, 1 Pt 3.02
Pr (0.9508, 0.4227, 0.1848)  1 Rh 2.78, 2 Pt 3.07-3.11
Pt (0.3727, 0.6273, 0.2500)  8 Pr 3.02-3.24
Pt (0.6273, 0.3727, 0.7500)  8 Pr 3.02-3.24
Rh (0.1093, 0.8907, 0.7500)  4 Pr 2.78-2.85
Rh (0.8907, 0.1093, 0.2500)  4 Pr 2.78-2.85


--- 2 ---
## Pr4PtRh (PBE-GGA)

Data for a geometry-optimized Pr4PtRh structure.

**Symmetry**: No. 124
**Mass density**: 8.5 Mg/m³

Unit cell a=7.1290 b=7.1290 c=6.6498 alpha=90.00 beta=90.00 gamma=90.00
Closest atoms and distances in Å follow each position.
Sites, in units of the cell vectors:
Pr (0.1811, 0.3145, 0.0000)  2 Rh 3.08, 2 Pt 3.11
Pr (0.1811, 0.6855, 0.5000)  2 Rh 3.08, 2 Pt 3.11
Pr (0.3145, 0.1811, 0.5000)  2 Rh 3.08, 2 Pt 3.11
Pr (0.3145, 0.8189, 0.0000)  2 Rh 3.08, 2 Pt 3.11
Pr (0.6855, 0.1811, 0.0000)  2 Rh 3.08, 2 Pt 3.11
Pr (0.6855, 0.8189, 0.5000)  2 Rh 3.08, 2 Pt 3.11
Pr (0.8189, 0.3145, 0.5000)  2 Rh 3.08, 2 Pt 3.11
Pr (0.8189, 0.6855, 0.0000)  2 Rh 3.08, 2 Pt 3.11
Pt (0.5000, 0.5000, 0.2500)  8 Pr 3.11, 2 Pt 3.32
Pt (0.5000, 0.5000, 0.7500)  8 Pr 3.11, 2 Pt 3.32
Rh (0.0000, 0.0000, 0.2500)  8 Pr 3.08, 2 Rh 3.32
Rh (0.0000, 0.0000, 0.7500)  8 Pr 3.08, 2 Rh 3.32


Least stable of them? 1.


--- 1 ---
## Pr3PtRh (PBE-GGA)

Data for a geometry-optimized Pr3PtRh structure.

**Symmetry**: No. 14
**Mass density**: 8.6 Mg/m³

Unit cell a=8.9804 b=7.5093 c=8.5620 alpha=90.00 beta=105.99 gamma=90.00
Closest atoms and distances in Å follow each position.
Sites, in units of the cell vectors:
Pr (0.0492, 0.0039, 0.2193)  4 Rh 2.89-3.09, 1 Pt 3.08
Pr (0.0492, 0.4961, 0.7193)  4 Rh 2.89-3.09, 1 Pt 3.08
Pr (0.2896, 0.6527, 0.1101)  3 Pt 2.95-3.08, 2 Rh 2.99-3.28
Pr (0.2896, 0.8473, 0.6101)  3 Pt 2.95-3.08, 2 Rh 2.99-3.28
Pr (0.3526, 0.1857, 0.0082)  1 Rh 2.86, 3 Pt 3.06-3.19
Pr (0.3526, 0.3143, 0.5082)  1 Rh 2.86, 3 Pt 3.06-3.19
Pr (0.6474, 0.6857, 0.4918)  1 Rh 2.86, 3 Pt 3.06-3.19
Pr (0.6474, 0.8143, 0.9918)  1 Rh 2.86, 3 Pt 3.06-3.19
Pr (0.7104, 0.1527, 0.3899)  3 Pt 2.95-3.08, 2 Rh 2.99-3.28
Pr (0.7104, 0.3473, 0.8899)  3 Pt 2.95-3.08, 2 Rh 2.99-3.28
Pr (0.9508, 0.5039, 0.2807)  4 Rh 2.89-3.09, 1 Pt 3.08
Pr (0.9508, 0.9961, 0.7807)  4 Rh 2.89-3.09, 1 Pt 3.08
Pt (0.4046, 0.5356, 0.8186)  7 Pr 2.95-3.19, 1 Pt 3.15
Pt (0.4046, 0.9644, 0.3186)  7 Pr 2.95-3.19, 1 Pt 3.15
Pt (0.5954, 0.0356, 0.6814)  7 Pr 2.95-3.19, 1 Pt 3.15
Pt (0.5954, 0.4644, 0.1814)  7 Pr 2.95-3.19, 1 Pt 3.15
Rh (0.0544, 0.1886, 0.5180)  6 Pr 2.86-3.09, 1 Rh 2.98
Rh (0.0544, 0.3114, 0.0180)  6 Pr 2.86-3.09, 1 Rh 2.98
Rh (0.9456, 0.6886, 0.9820)  6 Pr 2.86-3.09, 1 Rh 2.98
Rh (0.9456, 0.8114, 0.4820)  6 Pr 2.86-3.09, 1 Rh 2.98


--- 2 ---
## Pr3PtRh (PBE-GGA)

Data for a geometry-optimized Pr3PtRh structure.

**Symmetry**: No. 11
**Mass density**: 8.8 Mg/m³

Unit cell a=8.3889 b=4.0292 c=8.4752 alpha=90.00 beta=107.69 gamma=90.00
Closest atoms and distances in Å follow each position.
Sites, in units of the cell vectors:
Pr (0.0374, 0.2500, 0.1846)  1 Rh 2.92, 2 Pt 3.02
Pr (0.2576, 0.7500, 0.5738)  3 Rh 2.92-2.93, 2 Pt 3.09
Pr (0.3923, 0.7500, 0.1358)  2 Rh 2.99, 3 Pt 3.06-3.15
Pr (0.6077, 0.2500, 0.8642)  2 Rh 2.99, 3 Pt 3.06-3.15
Pr (0.7424, 0.2500, 0.4262)  3 Rh 2.92-2.93, 2 Pt 3.09
Pr (0.9626, 0.7500, 0.8154)  1 Rh 2.92, 2 Pt 3.02
Pt (0.2379, 0.2500, 0.8443)  7 Pr 3.02-3.15
Pt (0.7621, 0.7500, 0.1557)  7 Pr 3.02-3.15
Rh (0.3850, 0.2500, 0.3940)  6 Pr 2.92-2.99, 2 Rh 2.98
Rh (0.6150, 0.7500, 0.6060)  6 Pr 2.92-2.99, 2 Rh 2.98


Least stable of them? 2.


--- 1 ---
## PrSmPtRh (PBE-GGA)

Data for a geometry-optimized PrSmPtRh structure.

**Symmetry**: No. 38
**Mass density**: 10.4 Mg/m³

Unit cell a=4.4490 b=3.9111 c=10.8498 alpha=90.00 beta=90.00 gamma=90.00
Closest atoms and distances in Å follow each position.
Sites, in units of the cell vectors:
Pr (0.0000, 0.0000, 0.0000)  3 Rh 2.90-3.19, 4 Pt 3.03
Pr (0.0000, 0.5000, 0.5000)  3 Rh 2.90-3.19, 4 Pt 3.03
Sm (0.5000, 0.0000, 0.7204)  4 Rh 3.01, 3 Pt 3.03-3.09
Sm (0.5000, 0.5000, 0.2204)  4 Rh 3.01, 3 Pt 3.03-3.09
Pt (0.5000, 0.0000, 0.4412)  2 Rh 2.92, 3 Sm 3.03-3.09, 4 Pr 3.03
Pt (0.5000, 0.5000, 0.9412)  2 Rh 2.92, 3 Sm 3.03-3.09, 4 Pr 3.03
Rh (0.0000, 0.0000, 0.2673)  3 Pr 2.90-3.19, 2 Pt 2.92, 4 Sm 3.01
Rh (0.0000, 0.5000, 0.7673)  3 Pr 2.90-3.19, 2 Pt 2.92, 4 Sm 3.01


--- 2 ---
## PrSmPtRh (PBE-GGA)

Data for a geometry-optimized PrSmPtRh structure.

**Symmetry**: No. 216
**Mass density**: 10.8 Mg/m³

Unit cell a=7.1388 b=7.1388 c=7.1388 alpha=90.00 beta=90.00 gamma=90.00
Closest atoms and distances in Å follow each position.
Sites, in units of the cell vectors:
Pr (0.0000, 0.0000, 0.0000)  4 Rh 3.09, 4 Pt 3.09
Pr (0.0000, 0.5000, 0.5000)  4 Rh 3.09, 4 Pt 3.09
Pr (0.5000, 0.0000, 0.5000)  4 Rh 3.09, 4 Pt 3.09
Pr (0.5000, 0.5000, 0.0000)  4 Rh 3.09, 4 Pt 3.09
Sm (0.0000, 0.0000, 0.5000)  4 Pt 3.09, 4 Rh 3.09
Sm (0.0000, 0.5000, 0.0000)  4 Pt 3.09, 4 Rh 3.09
Sm (0.5000, 0.0000, 0.0000)  4 Pt 3.09, 4 Rh 3.09
Sm (0.5000, 0.5000, 0.5000)  4 Pt 3.09, 4 Rh 3.09
Pt (0.2500, 0.2500, 0.7500)  4 Pr 3.09, 4 Sm 3.09
Pt (0.2500, 0.7500, 0.2500)  4 Pr 3.09, 4 Sm 3.09
Pt (0.7500, 0.2500, 0.2500)  4 Pr 3.09, 4 Sm 3.09
Pt (0.7500, 0.7500, 0.7500)  4 Pr 3.09, 4 Sm 3.09
Rh (0.2500, 0.2500, 0.2500)  4 Pr 3.09, 4 Sm 3.09
Rh (0.2500, 0.7500, 0.7500)  4 Pr 3.09, 4 Sm 3.09
Rh (0.7500, 0.2500, 0.7500)  4 Pr 3.09, 4 Sm 3.09
Rh (0.7500, 0.7500, 0.2500)  4 Pr 3.09, 4 Sm 3.09


Least stable of them? 2.


--- 1 ---
## PrSbPt3 (PBE-GGA)

Data for a geometry-optimized PrSbPt3 structure.

**Symmetry**: No. 194
**Mass density**: 11.8 Mg/m³

Unit cell a=5.9648 b=5.9648 c=15.4392 alpha=90.00 beta=90.00 gamma=120.00
Closest atoms and distances in Å follow each position.
Sites, in units of the cell vectors:
Pr (0.0000, 0.0000, 0.0000)  6 Pt 2.98
Pr (0.0000, 0.0000, 0.5000)  6 Pt 2.98
Pr (0.3333, 0.6667, 0.2500)  6 Pt 2.99
Pr (0.6667, 0.3333, 0.7500)  6 Pt 2.99
Sb (0.3333, 0.6667, 0.6301)  6 Pt 2.65
Sb (0.3333, 0.6667, 0.8699)  6 Pt 2.65
Sb (0.6667, 0.3333, 0.1301)  6 Pt 2.65
Sb (0.6667, 0.3333, 0.3699)  6 Pt 2.65
Pt (0.0000, 0.5000, 0.0000)  2 Sb 2.65
Pt (0.0000, 0.5000, 0.5000)  2 Sb 2.65
Pt (0.1493, 0.2987, 0.7500)  2 Sb 2.65, 2 Pt 2.67
Pt (0.1493, 0.8507, 0.7500)  2 Sb 2.65, 2 Pt 2.67
Pt (0.2987, 0.1493, 0.2500)  2 Sb 2.65, 2 Pt 2.67
Pt (0.5000, 0.0000, 0.0000)  2 Sb 2.65
Pt (0.5000, 0.0000, 0.5000)  2 Sb 2.65
Pt (0.5000, 0.5000, 0.0000)  2 Sb 2.65
Pt (0.5000, 0.5000, 0.5000)  2 Sb 2.65
Pt (0.7013, 0.8507, 0.7500)  2 Sb 2.65, 2 Pt 2.67
Pt (0.8507, 0.1493, 0.2500)  2 Sb 2.65, 2 Pt 2.67
Pt (0.8507, 0.7013, 0.2500)  2 Sb 2.65, 2 Pt 2.67


--- 2 ---
## PrSbPt3 (PBE-GGA)

Data for a geometry-optimized PrSbPt3 structure.

**Symmetry**: No. 107
**Mass density**: 13.3 Mg/m³

Unit cell a=4.2127 b=4.2127 c=11.9241 alpha=90.00 beta=90.00 gamma=90.00
Closest atoms and distances in Å follow each position.
Sites, in units of the cell vectors:
Pr (0.0000, 0.0000, 0.0000)  8 Pt 3.09-3.37, 4 Sb 3.45
Pr (0.5000, 0.5000, 0.5000)  8 Pt 3.09-3.37, 4 Sb 3.45
Sb (0.0000, 0.0000, 0.3541)  5 Pt 2.56-2.64
Sb (0.5000, 0.5000, 0.8541)  5 Pt 2.56-2.64
Pt (0.0000, 0.0000, 0.5686)  1 Sb 2.56, 4 Pt 2.78
Pt (0.0000, 0.5000, 0.2206)  2 Sb 2.64, 2 Pt 2.78
Pt (0.0000, 0.5000, 0.7206)  2 Sb 2.64, 2 Pt 2.78
Pt (0.5000, 0.0000, 0.2206)  2 Sb 2.64, 2 Pt 2.78
Pt (0.5000, 0.0000, 0.7206)  2 Sb 2.64, 2 Pt 2.78
Pt (0.5000, 0.5000, 0.0686)  1 Sb 2.56, 4 Pt 2.78


Least stable of them? 1.


--- 1 ---
## PrScPt (PBE-GGA)

Data for a geometry-optimized PrScPt structure.

**Symmetry**: No. 12
**Mass density**: 8.5 Mg/m³

Unit cell a=6.5415 b=6.5376 c=6.9289 alpha=90.00 beta=90.36 gamma=90.00
Closest atoms and distances in Å follow each position.
Sites, in units of the cell vectors:
Pr (0.2503, 0.0000, 0.1279)  1 Pt 2.88
Pr (0.2497, 0.5000, 0.8721)  1 Pt 2.88
Pr (0.7497, 0.0000, 0.8721)  1 Pt 2.88
Pr (0.7503, 0.5000, 0.1279)  1 Pt 2.88
Sc (0.0000, 0.2494, 0.5000)  4 Pt 2.74
Sc (0.0000, 0.7506, 0.5000)  4 Pt 2.74
Sc (0.5000, 0.2506, 0.5000)  4 Pt 2.74
Sc (0.5000, 0.7494, 0.5000)  4 Pt 2.74
Pt (0.2473, 0.5000, 0.2877)  4 Sc 2.74, 1 Pr 2.88
Pt (0.2527, 0.0000, 0.7123)  4 Sc 2.74, 1 Pr 2.88
Pt (0.7473, 0.0000, 0.2877)  4 Sc 2.74, 1 Pr 2.88
Pt (0.7527, 0.5000, 0.7123)  4 Sc 2.74, 1 Pr 2.88


--- 2 ---
## PrScPt (PBE-GGA)

Data for a geometry-optimized PrScPt structure.

**Symmetry**: No. 11
**Mass density**: 8.1 Mg/m³

Unit cell a=5.3142 b=4.9440 c=6.1444 alpha=90.00 beta=105.28 gamma=90.00
Closest atoms and distances in Å follow each position.
Sites, in units of the cell vectors:
Pr (0.2184, 0.2500, 0.4045)  4 Pt 2.98-3.27
Pr (0.7816, 0.7500, 0.5955)  4 Pt 2.98-3.27
Sc (0.3266, 0.7500, 0.0174)  4 Pt 2.73-2.77
Sc (0.6734, 0.2500, 0.9826)  4 Pt 2.73-2.77
Pt (0.1336, 0.2500, 0.8648)  4 Sc 2.73-2.77, 1 Pr 2.98
Pt (0.8664, 0.7500, 0.1352)  4 Sc 2.73-2.77, 1 Pr 2.98


--- 3 ---
## PrScPt (PBE-GGA)

Data for a geometry-optimized PrScPt structure.

**Symmetry**: No. 156
**Mass density**: 8.3 Mg/m³

Unit cell a=4.5185 b=4.5185 c=4.3035 alpha=90.00 beta=90.00 gamma=120.00
Closest atoms and distances in Å follow each position.
Sites, in units of the cell vectors:
Pr (0.0000, 0.0000, 0.0000)  3 Pt 3.13, 6 Sc 3.36-3.40
Sc (0.6667, 0.3333, 0.4918)  3 Pt 2.65
Pt (0.3333, 0.6667, 0.5993)  3 Sc 2.65


--- 4 ---
## PrScPt (PBE-GGA)

Data for a geometry-optimized PrScPt structure.

**Symmetry**: No. 216
**Mass density**: 7.9 Mg/m³

Unit cell a=6.8524 b=6.8524 c=6.8524 alpha=90.00 beta=90.00 gamma=90.00
Closest atoms and distances in Å follow each position.
Sites, in units of the cell vectors:
Pr (0.0000, 0.0000, 0.0000)  4 Pt 2.97
Pr (0.0000, 0.5000, 0.5000)  4 Pt 2.97
Pr (0.5000, 0.0000, 0.5000)  4 Pt 2.97
Pr (0.5000, 0.5000, 0.0000)  4 Pt 2.97
Sc (0.0000, 0.0000, 0.5000)  4 Pt 2.97
Sc (0.0000, 0.5000, 0.0000)  4 Pt 2.97
Sc (0.5000, 0.0000, 0.0000)  4 Pt 2.97
Sc (0.5000, 0.5000, 0.5000)  4 Pt 2.97
Pt (0.2500, 0.2500, 0.7500)  4 Sc 2.97, 4 Pr 2.97
Pt (0.2500, 0.7500, 0.2500)  4 Sc 2.97, 4 Pr 2.97
Pt (0.7500, 0.2500, 0.2500)  4 Sc 2.97, 4 Pr 2.97
Pt (0.7500, 0.7500, 0.7500)  4 Sc 2.97, 4 Pr 2.97


Least stable of them? 3.


--- 1 ---
## PrSiPt4 (PBE-GGA)

Data for a geometry-optimized PrSiPt4 structure.

**Symmetry**: No. 63
**Mass density**: 14.8 Mg/m³

Unit cell a=8.0577 b=8.0577 c=6.8123 alpha=90.00 beta=90.00 gamma=151.19
Closest atoms and distances in Å follow each position.
Sites, in units of the cell vectors:
Pr (0.1030, 0.8970, 0.7500)  9 Pt 2.93-3.12, 2 Si 3.21
Pr (0.8970, 0.1030, 0.2500)  9 Pt 2.93-3.12, 2 Si 3.21
Si (0.2366, 0.7634, 0.2500)  7 Pt 2.37-2.56
Si (0.7634, 0.2366, 0.7500)  7 Pt 2.37-2.56
Pt (0.0847, 0.9153, 0.2500)  1 Si 2.37
Pt (0.3151, 0.6849, 0.5472)  3 Si 2.37-2.56
Pt (0.3151, 0.6849, 0.9528)  3 Si 2.37-2.56
Pt (0.5000, 0.5000, 0.0000)  6 Pt 2.90-2.94, 4 Pr 3.08
Pt (0.5000, 0.5000, 0.5000)  6 Pt 2.90-2.94, 4 Pr 3.08
Pt (0.6849, 0.3151, 0.0472)  3 Si 2.37-2.56
Pt (0.6849, 0.3151, 0.4528)  3 Si 2.37-2.56
Pt (0.9153, 0.0847, 0.7500)  1 Si 2.37


--- 2 ---
## PrSiPt4 (PBE-GGA)

Data for a geometry-optimized PrSiPt4 structure.

**Symmetry**: No. 51
**Mass density**: 14.7 Mg/m³

Unit cell a=7.7767 b=3.9240 c=7.0267 alpha=90.00 beta=90.00 gamma=90.00
Closest atoms and distances in Å follow each position.
Sites, in units of the cell vectors:
Pr (0.2500, 0.0000, 0.1271)  1 Si 2.98, 12 Pt 3.04-3.33
Pr (0.7500, 0.0000, 0.8729)  1 Si 2.98, 12 Pt 3.04-3.33
Si (0.2500, 0.0000, 0.7031)  8 Pt 2.41-2.62
Si (0.7500, 0.0000, 0.2969)  8 Pt 2.41-2.62
Pt (0.0000, 0.0000, 0.5000)  2 Si 2.41
Pt (0.0602, 0.5000, 0.8067)  2 Si 2.56
Pt (0.2500, 0.5000, 0.4566)  2 Si 2.62, 6 Pt 2.78-2.87
Pt (0.4398, 0.5000, 0.8067)  2 Si 2.56
Pt (0.5000, 0.0000, 0.5000)  2 Si 2.41
Pt (0.5602, 0.5000, 0.1933)  2 Si 2.56
Pt (0.7500, 0.5000, 0.5434)  2 Si 2.62, 6 Pt 2.78-2.87
Pt (0.9398, 0.5000, 0.1933)  2 Si 2.56


Least stable of them? 2.